Density functional theory data (PBE with a Hubbard U) for an optimized crystal structure of SiNiB2O6.

Lattice parameters (Å, degrees): 5.886 5.886 4.512 97.01 97.01 89.28
Element x y z (fractional)
Si 0.214 0.786 0.750
Si 0.786 0.214 0.250
Ni 0.409 0.591 0.250
Ni 0.591 0.409 0.750
B 0.106 0.280 0.783
B 0.280 0.106 0.283
B 0.720 0.894 0.717
B 0.894 0.720 0.217
O 0.075 0.214 0.111
O 0.103 0.671 0.395
O 0.214 0.075 0.611
O 0.259 0.482 0.840
O 0.329 0.897 0.105
O 0.482 0.259 0.340
O 0.518 0.741 0.660
O 0.671 0.103 0.895
O 0.741 0.518 0.160
O 0.786 0.925 0.389
O 0.897 0.329 0.605
O 0.925 0.786 0.889

Calculated values
Volume in Å³/atom: 7.7
DFT total energy in eV per atom: -7.21